No. 1
Material: ScAl2W
Method: DFT, PBE
State: optimized geometry

The total energy is -6.652 eV/atom. The calculation puts the density at 6.63 g cm⁻³. The energy relative to the lowest polymorph listed for this composition is 0.244 eV/atom. The volume comes out at 17.7 Å³ per atom.

The structure belongs to space group P4mm (No. 99); the cell edges are 3.366, 3.366 and 6.253 Å and the angles 90.00°, 90.00° and 90.00°. The inequivalent atoms are Sc at (0.000, 0.000, 0.000), Al at (0.000, 0.000, 0.464), Al at (0.500, 0.500, 0.695) and W at (0.500, 0.500, 0.253).

---

No. 2
Material: HfUTaIr
Method: DFT, PBE
State: optimized geometry

The total energy is -10.462 eV/atom. The calculation puts the density at 17.67 g cm⁻³. The volume comes out at 18.6 Å³ per atom.

The structure belongs to space group F-43m (No. 216); the cell edges are 6.671, 6.671 and 6.671 Å and the angles 90.00°, 90.00° and 90.00°. The inequivalent atoms are Hf at (0.000, 0.000, 0.000), U at (0.250, 0.250, 0.750), Ta at (0.000, 0.000, 0.500) and Ir at (0.250, 0.250, 0.250).

---

Number 1: formation energy from the elements 4 kJ per mole of atoms. Number 2: formation energy from the elements 3 kJ per mole of atoms.